Entry from Alexandria: an optimized crystal structure of AcSmYEr (PBE-GGA).

Unit cell a=8.2796 b=8.2796 c=8.2796 alpha=90.00 beta=90.00 gamma=90.00
Fractional coordinates of all 16 atoms:
Ac 0.0000 0.0000 0.0000
Ac 0.0000 0.5000 0.5000
Ac 0.5000 0.0000 0.5000
Ac 0.5000 0.5000 0.0000
Sm 0.0000 0.0000 0.5000
Sm 0.0000 0.5000 0.0000
Sm 0.5000 0.0000 0.0000
Sm 0.5000 0.5000 0.5000
Y 0.2500 0.2500 0.7500
Y 0.2500 0.7500 0.2500
Y 0.7500 0.2500 0.2500
Y 0.7500 0.7500 0.7500
Er 0.2500 0.2500 0.2500
Er 0.2500 0.7500 0.7500
Er 0.7500 0.2500 0.7500
Er 0.7500 0.7500 0.2500

E above lowest polymorph = 0 meV per atom
Symmetry = F-43m (216)